Material: LiMgZn2
Method: DFT, meta-GGA SCAN
State: PBEsol geometry

Summary:
The space group is P4/mmm, No. 123. As for the magnetic moment: 0.00 μB/atom. Its calculated density is 4.3 Mg/m³. The calculation puts the total energy at -35.1 eV/cell.

Cell: 3.2577 3.2505 5.9078 Å, 90.00 90.00 90.00°
Fractional coordinates of all 4 atoms:
1 Zn 0.0000 0.0000 0.2249
2 Li 0.5000 0.5000 0.0000
3 Zn 0.0000 0.0000 0.7751
4 Mg 0.5000 0.5000 0.5000

Material: CoReCl2
Method: DFT, meta-GGA SCAN
State: PBEsol geometry

Summary:
The space group is F-43m, No. 216. As for the magnetic moment: 0.49 μB/atom. Its calculated density is 9.0 Mg/m³. The calculation puts the total energy at -99.0 eV/cell. The calculation puts the energy relative to the lowest polymorph listed for this composition at 1.024 eV/atom. Its formation energy (no corrections) is 1.327 eV per atom.

Cell: 4.3502 4.3502 4.3502 Å, 60.00 60.00 60.00°
Site moments in Bohr magnetons follow the coordinates.
Fractional coordinates of all 4 atoms:
1 Re 0.7500 0.7500 0.7500  2.05
2 Co 0.5000 0.5000 0.5000  -0.85
3 Cl 0.2500 0.2500 0.2500  0.16
4 Cl 0.0000 0.0000 0.0000  0.11

Material: Sn2Rh
Method: DFT, meta-GGA SCAN
State: PBEsol geometry

Summary:
The space group is I4/mcm, No. 140. As for the magnetic moment: 0.00 μB/atom. Its calculated density is 9.8 Mg/m³. The calculation puts the total energy at -213.3 eV/cell.

Cell: 5.3328 5.3328 5.3328 Å, 106.37 106.37 115.88°
Fractional coordinates of all 6 atoms:
1 Sn 0.6620 0.1620 0.8240
2 Sn 0.1620 0.3380 0.5000
3 Sn 0.3380 0.8380 0.1760
4 Sn 0.8380 0.6620 0.5000
5 Rh 0.7500 0.7500 0.0000
6 Rh 0.2500 0.2500 0.0000

Material: NaSb2TeO
Method: DFT, meta-GGA SCAN
State: PBEsol geometry

Summary:
The space group is P4/mmm, No. 123. As for the magnetic moment: 0.00 μB/atom. Its calculated density is 5.9 Mg/m³. The calculation puts the total energy at -120.0 eV/cell. Its formation energy (no corrections) is 0.449 eV per atom.

Cell: 3.9238 5.4457 5.4457 Å, 90.00 90.00 90.00°
Fractional coordinates of all 5 atoms:
1 Sb 0.0000 0.5000 0.0000
2 Sb 0.0000 0.0000 0.5000
3 Te 0.5000 0.5000 0.5000
4 Na 0.0000 0.0000 0.0000
5 O 0.5000 0.0000 0.0000

Material: TiAu
Method: DFT, meta-GGA SCAN
State: PBEsol geometry

Summary:
The space group is P-6m2, No. 187. As for the magnetic moment: 0.44 μB/atom. Its calculated density is 12.3 Mg/m³. The calculation puts the total energy at -85.8 eV/cell.

Cell: 2.8911 2.8911 4.5565 Å, 90.00 90.00 120.00°
Site moments in Bohr magnetons follow the coordinates.
Fractional coordinates of all 2 atoms:
1 Au 0.6667 0.3333 0.5000  0.01
2 Ti 0.0000 0.0000 0.0000  0.66

Material: ZnSi2Bi
Method: DFT, meta-GGA SCAN
State: PBEsol geometry

Summary:
The space group is Fm-3m, No. 225. As for the magnetic moment: 0.00 μB/atom. Its calculated density is 6.9 Mg/m³. The calculation puts the total energy at -108.9 eV/cell. Its formation energy (no corrections) is 0.811 eV per atom.

Cell: 4.8164 4.8164 4.8164 Å, 60.00 60.00 60.00°
Fractional coordinates of all 4 atoms:
1 Si 0.2500 0.2500 0.2500
2 Zn 0.0000 0.0000 0.0000
3 Si 0.7500 0.7500 0.7500
4 Bi 0.5000 0.5000 0.5000